(1)
## HPdPb2Au (GGA-PBE)

Data for a relaxed HPdPb2Au crystal.

a = 5.5747 Å, b = 5.5747 Å, c = 3.3562 Å
α = 90.00°, β = 90.00°, γ = 90.00°
With the nearest neighbours (Å) after each atom.
Atoms (fractional coordinates):
H  0.0000  0.0000  0.0000  2 Pd 1.68
Pd  0.0000  0.0000  0.5000  2 H 1.68
Pb  0.0000  0.5000  0.5000  2 Pd 2.79
Pb  0.5000  0.0000  0.5000  2 Pd 2.79
Au  0.5000  0.5000  0.0000  8 Pb 3.25, 2 Au 3.36

Summary:
- ρ (g/cm³) = 11.444
- total energy (eV per atom) = -3.827
- V (A^3/atom) = 20.86


(2)
## HPt2PbAu (GGA-PBE)

Data for a relaxed HPt2PbAu crystal.

a = 4.1054 Å, b = 4.1054 Å, c = 4.6611 Å
α = 90.00°, β = 90.00°, γ = 90.00°
With the nearest neighbours (Å) after each atom.
Atoms (fractional coordinates):
H  0.0000  0.0000  0.0000  4 Pt 2.05
Pt  0.0000  0.5000  0.0000  2 H 2.05
Pt  0.5000  0.0000  0.0000  2 H 2.05
Pb  0.5000  0.5000  0.5000  4 Au 2.90, 8 Pt 3.11
Au  0.0000  0.0000  0.5000  2 H 2.33

Summary:
- ρ (g/cm³) = 16.811
- total energy (eV per atom) = -4.340
- V (A^3/atom) = 15.71


(3)
## ReHPb2Au (GGA-PBE)

Data for a relaxed ReHPb2Au crystal.

a = 5.4467 Å, b = 5.4467 Å, c = 3.5191 Å
α = 90.00°, β = 90.00°, γ = 90.00°
With the nearest neighbours (Å) after each atom.
Atoms (fractional coordinates):
Re  0.0000  0.0000  0.0000  2 H 1.76
H  0.0000  0.0000  0.5000  2 Re 1.76
Pb  0.0000  0.5000  0.0000  2 Re 2.72
Pb  0.5000  0.0000  0.0000  2 Re 2.72
Au  0.5000  0.5000  0.5000  8 Pb 3.24, 2 Au 3.52

Summary:
- ρ (g/cm³) = 12.702
- total energy (eV per atom) = -4.676
- V (A^3/atom) = 20.88


(4)
## HRh2PbAu (GGA-PBE)

Data for a relaxed HRh2PbAu crystal.

a = 4.2464 Å, b = 4.2464 Å, c = 3.9870 Å
α = 90.00°, β = 90.00°, γ = 90.00°
With the nearest neighbours (Å) after each atom.
Atoms (fractional coordinates):
H  0.0000  0.0000  0.0000  2 Au 1.99, 4 Rh 2.12
Rh  0.0000  0.5000  0.0000  2 H 2.12
Rh  0.5000  0.0000  0.0000  2 H 2.12
Pb  0.5000  0.5000  0.5000  8 Rh 2.91, 4 Au 3.00
Au  0.0000  0.0000  0.5000  2 H 1.99

Summary:
- ρ (g/cm³) = 14.112
- total energy (eV per atom) = -4.955
- V (A^3/atom) = 14.38


(5)
## HRhPb2Au (GGA-PBE)

Data for a relaxed HRhPb2Au crystal.

a = 5.3974 Å, b = 5.3974 Å, c = 3.4523 Å
α = 90.00°, β = 90.00°, γ = 90.00°
With the nearest neighbours (Å) after each atom.
Atoms (fractional coordinates):
H  0.0000  0.0000  0.0000  2 Rh 1.73
Rh  0.0000  0.0000  0.5000  2 H 1.73
Pb  0.0000  0.5000  0.5000  2 Rh 2.70
Pb  0.5000  0.0000  0.5000  2 Rh 2.70
Au  0.5000  0.5000  0.0000  8 Pb 3.20, 2 Au 3.45

Summary:
- ρ (g/cm³) = 11.810
- total energy (eV per atom) = -4.209
- V (A^3/atom) = 20.11


(6)
## H6RhPb2Au (GGA-PBE)

Data for a relaxed H6RhPb2Au crystal.

a = 5.6939 Å, b = 5.6939 Å, c = 5.6939 Å
α = 125.59°, β = 125.59°, γ = 80.56°
With the nearest neighbours (Å) after each atom.
Atoms (fractional coordinates):
H  0.1955  0.1955  0.0000  1 Rh 1.70
H  0.2420  0.2420  0.4840  1 Rh 1.78, 1 Au 1.90
H  0.2420  0.7580  0.0000  1 Rh 1.78, 1 Au 1.90
H  0.7580  0.2420  0.0000  1 Rh 1.78, 1 Au 1.90
H  0.7580  0.7580  0.5160  1 Rh 1.78, 1 Au 1.90
H  0.8045  0.8045  0.0000  1 Rh 1.70
Rh  0.0000  0.0000  0.0000  6 H 1.70-1.78
Pb  0.2500  0.7500  0.5000  12 H 2.65-2.85
Pb  0.7500  0.2500  0.5000  12 H 2.65-2.85
Au  0.5000  0.5000  0.0000  4 H 1.90

Summary:
- ρ (g/cm³) = 10.160
- total energy (eV per atom) = -3.666
- V (A^3/atom) = 11.77


(7)
## HRhPb2Au (GGA-PBE)

Data for a relaxed HRhPb2Au crystal.

a = 5.2308 Å, b = 5.2308 Å, c = 3.4286 Å
α = 90.00°, β = 90.00°, γ = 90.00°
With the nearest neighbours (Å) after each atom.
Atoms (fractional coordinates):
H  0.0000  0.0000  0.0000  2 Rh 1.71
Rh  0.0000  0.0000  0.5000  2 H 1.71
Pb  0.0000  0.5000  0.0000  2 H 2.62
Pb  0.5000  0.0000  0.0000  2 H 2.62
Au  0.5000  0.5000  0.5000  8 Pb 3.13, 2 Au 3.43

Summary:
- ρ (g/cm³) = 12.661
- total energy (eV per atom) = -4.232
- V (A^3/atom) = 18.76


(8)
## HRhPbAu2 (GGA-PBE)

Data for a relaxed HRhPbAu2 crystal.

a = 4.8003 Å, b = 4.8003 Å, c = 3.5199 Å
α = 90.00°, β = 90.00°, γ = 90.00°
With the nearest neighbours (Å) after each atom.
Atoms (fractional coordinates):
H  0.0000  0.0000  0.0000  2 Rh 1.76
Rh  0.0000  0.0000  0.5000  2 H 1.76
Pb  0.5000  0.5000  0.5000  8 Au 2.98
Au  0.0000  0.5000  0.0000  2 H 2.40
Au  0.5000  0.0000  0.0000  2 H 2.40

Summary:
- ρ (g/cm³) = 14.435
- total energy (eV per atom) = -4.032
- V (A^3/atom) = 16.22


(9)
## HPbAuS2 (GGA-PBE)

Data for a relaxed HPbAuS2 crystal.

a = 4.9385 Å, b = 4.9385 Å, c = 3.6656 Å
α = 90.00°, β = 90.00°, γ = 90.00°
With the nearest neighbours (Å) after each atom.
Atoms (fractional coordinates):
H  0.0000  0.0000  0.0000  2 Au 1.83
Pb  0.5000  0.5000  0.5000  8 S 3.08
Au  0.0000  0.0000  0.5000  2 H 1.83
S  0.0000  0.5000  0.0000  2 H 2.47
S  0.5000  0.0000  0.0000  2 H 2.47

Summary:
- ρ (g/cm³) = 8.717
- total energy (eV per atom) = -3.378
- V (A^3/atom) = 17.88


(10)
## Sb2HPbAu (GGA-PBE)

Data for a relaxed Sb2HPbAu crystal.

a = 5.7739 Å, b = 5.7739 Å, c = 3.4556 Å
α = 90.00°, β = 90.00°, γ = 90.00°
With the nearest neighbours (Å) after each atom.
Atoms (fractional coordinates):
Sb  0.0000  0.5000  0.0000  2 Au 2.89
Sb  0.5000  0.0000  0.0000  2 Au 2.89
H  0.0000  0.0000  0.5000  2 Au 1.73
Pb  0.5000  0.5000  0.5000  8 Sb 3.36, 2 Pb 3.46
Au  0.0000  0.0000  0.0000  2 H 1.73

Summary:
- ρ (g/cm³) = 9.350
- total energy (eV per atom) = -3.615
- V (A^3/atom) = 23.04


(11)
## SbHPb2Au (GGA-PBE)

Data for a relaxed SbHPb2Au crystal.

a = 5.7588 Å, b = 5.7588 Å, c = 3.5252 Å
α = 90.00°, β = 90.00°, γ = 90.00°
With the nearest neighbours (Å) after each atom.
Atoms (fractional coordinates):
Sb  0.0000  0.0000  0.0000  8 Pb 3.38, 2 Sb 3.53
H  0.5000  0.5000  0.5000  2 Au 1.76
Pb  0.0000  0.5000  0.5000  2 H 2.88
Pb  0.5000  0.0000  0.5000  2 H 2.88
Au  0.5000  0.5000  0.0000  2 H 1.76

Summary:
- ρ (g/cm³) = 10.427
- total energy (eV per atom) = -3.490
- V (A^3/atom) = 23.38


(12)
## SbHPb2Au (GGA-PBE)

Data for a relaxed SbHPb2Au crystal.

a = 5.8859 Å, b = 5.8859 Å, c = 3.4862 Å
α = 90.00°, β = 90.00°, γ = 90.00°
With the nearest neighbours (Å) after each atom.
Atoms (fractional coordinates):
Sb  0.0000  0.0000  0.0000  8 Pb 3.42, 2 Sb 3.49
H  0.5000  0.5000  0.0000  2 Au 1.74
Pb  0.0000  0.5000  0.5000  2 Au 2.94
Pb  0.5000  0.0000  0.5000  2 Au 2.94
Au  0.5000  0.5000  0.5000  2 H 1.74

Summary:
- ρ (g/cm³) = 10.094
- total energy (eV per atom) = -3.559
- V (A^3/atom) = 24.15


Look up the ρ of the eighth one.
14.435 g/cm³


Number 7 is which compound?
HRhPb2Au


Copy entry 5 word for word.
## HRhPb2Au (GGA-PBE)

Data for a relaxed HRhPb2Au crystal.

a = 5.3974 Å, b = 5.3974 Å, c = 3.4523 Å
α = 90.00°, β = 90.00°, γ = 90.00°
With the nearest neighbours (Å) after each atom.
Atoms (fractional coordinates):
H  0.0000  0.0000  0.0000  2 Rh 1.73
Rh  0.0000  0.0000  0.5000  2 H 1.73
Pb  0.0000  0.5000  0.5000  2 Rh 2.70
Pb  0.5000  0.0000  0.5000  2 Rh 2.70
Au  0.5000  0.5000  0.0000  8 Pb 3.20, 2 Au 3.45

Summary:
- ρ (g/cm³) = 11.810
- total energy (eV per atom) = -4.209
- V (A^3/atom) = 20.11


What is the ρ in the seventh record?
12.661 g/cm³